1.
Density functional theory data (PBE-GGA) for a relaxed NbFeSi3 crystal.

Properties
SG: Pm-3m (221)
Crystal system: cubic
Formation energy from raw total energies (meV per atom): 1104
Energy (eV per atom): -5.86
Volume (Å³/atom): 22.2

```
NbFeSi3
1.0
4.808 0.000 0.000
0.000 4.808 0.000
0.000 0.000 4.808
Nb Fe Si
1 1 3
Cartesian
0.000 0.000 0.000
2.404 2.404 2.404
0.000 0.000 2.404
0.000 2.404 0.000
2.404 0.000 0.000
```


2.
Density functional theory data (PBE-GGA) for a relaxed CoNi5Pt3 crystal.

Properties
SG: I4/mcm (140)
Crystal system: tetragonal
Energy (eV per atom): -5.66
Volume (Å³/atom): 13.9
DFT formation energy (kcal/mol of atoms): 8.26

```
CoNi5Pt3
1.0
-3.278 3.278 5.840
3.278 -3.278 5.840
3.278 3.278 -5.840
Co Ni Pt
2 10 6
Cartesian
3.278 0.000 2.920
0.000 3.278 2.920
0.000 0.000 0.000
4.594 1.316 -1.779
1.316 1.962 -1.779
4.594 1.316 1.779
1.316 1.962 1.779
0.000 0.000 5.840
1.962 1.316 4.061
-1.316 1.962 4.061
1.962 1.316 7.619
-1.316 1.962 7.619
2.416 0.862 0.000
0.000 0.000 2.920
2.416 -0.862 5.840
0.862 4.140 0.000
0.000 0.000 8.760
0.862 2.416 5.840
```


3.
Density functional theory data (PBE-GGA) for a relaxed Ru4Pt3 crystal.

Properties
SG: I4/mmm (139)
Crystal system: tetragonal
Energy (eV per atom): -7.92
Distance to the lowest polymorph of the same formula (meV/atom): 0.0
Volume (Å³/atom): 14.7
DFT formation energy (kcal/mol of atoms): -0.69

```
Ru4Pt3
1.0
-1.367 1.367 13.732
1.367 -1.367 13.732
1.367 1.367 -13.732
Ru Pt
4 3
Cartesian
0.000 0.000 2.040
0.000 0.000 9.942
0.000 0.000 17.522
0.000 0.000 25.424
0.000 0.000 5.809
0.000 0.000 13.732
0.000 0.000 21.654
```


4.
Density functional theory data (PBE-GGA) for a relaxed PmLuPd crystal.

Properties
SG: I4mm (107)
Crystal system: tetragonal
Energy (eV per atom): -5.37
Distance to the lowest polymorph of the same formula (meV/atom): 0.0
Volume (Å³/atom): 25.6
DFT formation energy (kcal/mol of atoms): -12.70

```
PmLuPd
1.0
-1.775 1.775 6.105
1.775 -1.775 6.105
1.775 1.775 -6.105
Pm Lu Pd
1 1 1
Cartesian
0.000 0.000 0.000
0.000 0.000 8.816
0.000 0.000 4.155
```


5.
Density functional theory data (PBE-GGA) for a relaxed Y2TlCd crystal.

Properties
SG: I-42d (122)
Crystal system: tetragonal
Energy (eV per atom): -4.08
Volume (Å³/atom): 29.9
DFT formation energy (kcal/mol of atoms): -0.62

```
Y2TlCd
1.0
-4.121 4.121 3.525
4.121 -4.121 3.525
4.121 4.121 -3.525
Y Tl Cd
4 2 2
Cartesian
6.182 2.039 -0.881
2.039 2.061 0.881
-2.061 2.082 2.644
2.082 2.061 4.407
4.121 0.000 1.763
0.000 0.000 3.525
0.000 0.000 0.000
0.000 4.121 1.763
```


6.
Density functional theory data (PBE-GGA) for a relaxed Pm3Sm7Tm2 crystal.

Properties
SG: P2/m (10)
Crystal system: monoclinic
Energy (eV per atom): -4.60
Distance to the lowest polymorph of the same formula (meV/atom): 0.0
Volume (Å³/atom): 33.6
DFT formation energy (kcal/mol of atoms): 2.07

```
Pm3Sm7Tm2
1.0
5.903 0.000 0.000
0.000 3.598 0.000
-1.042 0.000 18.994
Pm Sm Tm
3 7 2
Cartesian
0.000 0.000 0.000
1.001 1.799 12.038
3.861 1.799 6.955
0.950 1.799 2.761
0.950 0.000 8.821
0.987 0.000 15.555
2.952 1.799 0.000
3.875 0.000 3.439
3.911 0.000 10.173
3.911 1.799 16.233
0.930 0.000 5.607
3.932 0.000 13.387
```


7.
Density functional theory data (PBE-GGA) for a relaxed CrHPd3 crystal.

Properties
SG: P1 (1)
Crystal system: triclinic
Energy (eV per atom): -5.72
Distance to the lowest polymorph of the same formula (meV/atom): 79.7
Volume (Å³/atom): 12.8

```
CrHPd3
1.0
4.925 0.000 0.000
-1.785 4.623 0.000
-1.548 -2.267 5.622
Cr H Pd
2 2 6
Cartesian
0.000 0.000 0.000
-0.874 2.343 1.563
0.930 1.124 1.544
3.295 -0.522 2.950
0.076 0.033 2.848
-0.851 2.353 4.294
1.571 2.319 0.090
2.504 0.028 1.416
1.637 2.314 2.915
2.462 0.063 4.480
```


8.
Density functional theory data (PBE-GGA) for a relaxed Na12In7Pb crystal.

Properties
SG: R-3 (148)
Crystal system: trigonal
Energy (eV per atom): -2.01
Volume (Å³/atom): 29.1
DFT formation energy (kcal/mol of atoms): -1.79

```
Na12In7Pb
1.0
6.688 3.862 3.756
-6.688 3.862 3.756
0.000 -7.723 3.756
Na In Pb
12 7 1
Cartesian
-1.743 -4.695 3.760
-1.666 0.938 2.869
0.021 -1.912 2.869
-3.194 3.857 3.760
-4.937 -0.838 7.506
1.645 0.974 2.869
-1.645 -0.974 8.398
4.937 0.838 3.760
3.194 -3.857 7.506
-0.021 1.912 8.398
1.666 -0.938 8.398
1.743 4.695 7.506
0.000 0.000 0.000
-2.824 -1.643 5.162
-2.835 1.624 6.104
0.011 -3.267 6.104
-0.011 3.267 5.162
2.835 -1.624 5.162
2.824 1.643 6.104
0.000 0.000 5.633
```


9.
Density functional theory data (PBE-GGA) for a relaxed KRu2Pt crystal.

Properties
SG: C2/m (12)
Crystal system: monoclinic
Energy (eV per atom): -5.79
Distance to the lowest polymorph of the same formula (meV/atom): 196.8
Volume (Å³/atom): 20.7
DFT formation energy (kcal/mol of atoms): 14.60

```
KRu2Pt
1.0
5.670 -1.360 0.000
5.670 1.360 0.000
-1.817 0.000 5.364
K Ru Pt
1 2 1
Cartesian
0.000 0.000 0.000
1.219 0.000 3.437
8.303 0.000 1.927
4.761 0.000 2.682
```


10.
Density functional theory data (PBE-GGA) for a relaxed MgCoMo2 crystal.

Properties
SG: Cmm2 (35)
Crystal system: orthorhombic
Energy (eV per atom): -7.40
Volume (Å³/atom): 15.1
DFT formation energy (kcal/mol of atoms): 4.30

```
MgCoMo2
1.0
1.635 -2.167 0.000
1.635 2.167 0.000
0.000 0.000 8.537
Mg Co Mo
1 1 2
Cartesian
0.000 0.000 0.000
1.635 0.000 6.491
0.000 0.000 4.638
1.635 0.000 2.412
```


11.
Density functional theory data (PBE-GGA) for a relaxed YSiAs crystal.

Properties
SG: P3m1 (156)
Crystal system: trigonal
Formation energy from raw total energies (meV per atom): -193
Energy (eV per atom): -5.71
Volume (Å³/atom): 22.4

```
YSiAs
1.0
3.652 0.000 0.000
-1.826 3.163 0.000
0.000 0.000 5.805
Y Si As
1 1 1
Cartesian
0.000 0.000 0.000
0.000 2.109 3.569
1.826 1.054 2.226
```


12.
Density functional theory data (PBE-GGA) for a relaxed La3CdAg2 crystal.

Properties
SG: P4/mmm (123)
Crystal system: tetragonal
Energy (eV per atom): -3.85
Distance to the lowest polymorph of the same formula (meV/atom): 0.0
Volume (Å³/atom): 28.8
DFT formation energy (kcal/mol of atoms): -6.54

```
La3CdAg2
1.0
3.876 0.000 0.000
0.000 3.876 0.000
0.000 0.000 11.497
La Cd Ag
3 1 2
Cartesian
0.000 0.000 0.000
0.000 0.000 3.756
0.000 0.000 7.741
1.938 1.938 5.749
1.938 1.938 1.881
1.938 1.938 9.617
```


- Look up the energy of the ninth one.
  -5.79 eV per atom


What did the fourth record say?
Density functional theory data (PBE-GGA) for a relaxed PmLuPd crystal.

Properties
SG: I4mm (107)
Crystal system: tetragonal
Energy (eV per atom): -5.37
Distance to the lowest polymorph of the same formula (meV/atom): 0.0
Volume (Å³/atom): 25.6
DFT formation energy (kcal/mol of atoms): -12.70

```
PmLuPd
1.0
-1.775 1.775 6.105
1.775 -1.775 6.105
1.775 1.775 -6.105
Pm Lu Pd
1 1 1
Cartesian
0.000 0.000 0.000
0.000 0.000 8.816
0.000 0.000 4.155
```